Material: Ho3Mn5N12
Method: DFT, GGA-PBE
State: relaxed

```
data_Ho3Mn5N12
_symmetry_space_group_name_H-M 'I a -3 d'
_symmetry_Int_Tables_number 230
_symmetry_space_group_name_Hall '-I 4bd 2c 3'
_cell_length_a 12.174
_cell_length_b 12.174
_cell_length_c 12.174
_cell_angle_alpha 90.00
_cell_angle_beta 90.00
_cell_angle_gamma 90.00
loop_
_atom_site_label
_atom_site_type_symbol
_atom_site_fract_x
_atom_site_fract_y
_atom_site_fract_z
Ho1 Ho 0.000 0.250 0.125
Mn1 Mn 0.000 0.000 0.000
Mn2 Mn 0.000 0.250 0.375
N1 N 0.037 0.049 0.651
```

The total DFT energy (no corrections) comes out at -8.47 eV per atom. Its density of states at the Fermi level is 0.389 states/eV per atom.